[1]
# LiNbPBr2, optimized geometry, DFT GGA-PBE
data_LiNbPBr2
_chemical_formula_sum 'Li1 Nb1 P1 Br2'
_cell_length_a 5.673
_cell_length_b 5.673
_cell_length_c 4.782
_cell_angle_alpha 90.00
_cell_angle_beta 90.00
_cell_angle_gamma 90.00
_symmetry_space_group_name_H-M 'P 4/m m m'
_symmetry_Int_Tables_number 123
_symmetry_space_group_name_Hall '-P 4 2'
loop_
_atom_site_label
_atom_site_type_symbol
_atom_site_fract_x
_atom_site_fract_y
_atom_site_fract_z
Li1 Li 0.000 0.000 0.000
Nb1 Nb 0.500 0.500 0.000
P1 P 0.500 0.500 0.500
Br1 Br 0.000 0.500 0.500
# Total energy, eV/atom: -3.749
# DOS at the Fermi energy, states/eV/atom: 0.8683
# Total magnetization, μB per formula unit: 2.874
# Formation energy from raw total energies, meV/atom: 398
# Calculated density, g cm⁻³: 3.1

[2]
# MgAl2CuRh, optimized geometry, DFT GGA-PBE
data_MgAl2CuRh
_chemical_formula_sum 'Mg1 Al2 Cu1 Rh1'
_cell_length_a 4.647
_cell_length_b 4.647
_cell_length_c 4.880
_cell_angle_alpha 90.00
_cell_angle_beta 90.00
_cell_angle_gamma 90.00
_symmetry_space_group_name_H-M 'P 4/m m m'
_symmetry_Int_Tables_number 123
_symmetry_space_group_name_Hall '-P 4 2'
loop_
_atom_site_label
_atom_site_type_symbol
_atom_site_fract_x
_atom_site_fract_y
_atom_site_fract_z
Mg1 Mg 0.000 0.000 0.000
Al1 Al 0.000 0.500 0.500
Cu1 Cu 0.500 0.500 0.000
Rh1 Rh 0.000 0.000 0.500
# Total energy, eV/atom: -4.034
# DOS at the Fermi energy, states/eV/atom: 0.3642
# Total magnetization, μB per formula unit: 0.000
# Calculated density, g cm⁻³: 3.9
# ΔE to the lowest computed polymorph, meV/atom: 0

[3]
# CuPbC2, optimized geometry, DFT GGA-PBE
data_CuPbC2
_chemical_formula_sum 'Cu4 Pb4 C8'
_cell_length_a 4.812
_cell_length_b 4.812
_cell_length_c 10.376
_cell_angle_alpha 90.00
_cell_angle_beta 90.00
_cell_angle_gamma 90.00
_symmetry_space_group_name_H-M 'I -4 2 d'
_symmetry_Int_Tables_number 122
_symmetry_space_group_name_Hall 'I -4 2bw'
loop_
_atom_site_label
_atom_site_type_symbol
_atom_site_fract_x
_atom_site_fract_y
_atom_site_fract_z
Cu1 Cu 0.000 0.000 0.000
Pb1 Pb 0.000 0.000 0.500
C1 C 0.175 0.250 0.125
# Total energy, eV/atom: -4.894
# DOS at the Fermi energy, states/eV/atom: 0.4946
# Total magnetization, μB per formula unit: 0.000
# Calculated density, g cm⁻³: 8.2

[4]
# Zr2HgCl, optimized geometry, DFT GGA-PBE
data_Zr2HgCl
_chemical_formula_sum 'Zr8 Hg4 Cl4'
_cell_length_a 6.925
_cell_length_b 6.925
_cell_length_c 6.925
_cell_angle_alpha 90.00
_cell_angle_beta 90.00
_cell_angle_gamma 90.00
_symmetry_space_group_name_H-M 'F m -3 m'
_symmetry_Int_Tables_number 225
_symmetry_space_group_name_Hall '-F 4 2 3'
loop_
_atom_site_label
_atom_site_type_symbol
_atom_site_fract_x
_atom_site_fract_y
_atom_site_fract_z
Zr1 Zr 0.250 0.250 0.250
Hg1 Hg 0.000 0.000 0.000
Cl1 Cl 0.000 0.000 0.500
# Total energy, eV/atom: -4.977
# DOS at the Fermi energy, states/eV/atom: 2.1906
# Total magnetization, μB per formula unit: 0.000
# Formation energy from raw total energies, meV/atom: -166
# Calculated density, g cm⁻³: 8.4
# ΔE to the lowest computed polymorph, meV/atom: 378

[5]
# TeAs5, optimized geometry, DFT GGA-PBE
data_TeAs5
_chemical_formula_sum 'Te1 As5'
_cell_length_a 5.4887
_cell_length_b 5.4887
_cell_length_c 4.8831
_cell_angle_alpha 90.00
_cell_angle_beta 90.00
_cell_angle_gamma 120.00
_symmetry_space_group_name_H-M 'P -6 2 m'
_symmetry_Int_Tables_number 189
_symmetry_space_group_name_Hall 'P -6 -2'
loop_
_atom_site_label
_atom_site_type_symbol
_atom_site_fract_x
_atom_site_fract_y
_atom_site_fract_z
Te1 Te 0.0000 0.0000 0.0000
As1 As 0.0000 0.5847 0.5000
As2 As 0.3333 0.6667 0.0000
# Total energy, eV/atom: -3.926
# DOS at the Fermi energy, states/eV/atom: 0.7364
# Total magnetization, μB per formula unit: 0.000
# Formation energy from raw total energies, meV/atom: 472
# Calculated density, g cm⁻³: 6.5
# ΔE to the lowest computed polymorph, meV/atom: 345

[6]
# Nb5GaSn, optimized geometry, DFT GGA-PBE
data_Nb5GaSn
_chemical_formula_sum 'Nb20 Ga4 Sn4'
_cell_length_a 6.813
_cell_length_b 8.270
_cell_length_c 9.837
_cell_angle_alpha 90.00
_cell_angle_beta 104.92
_cell_angle_gamma 90.00
_symmetry_space_group_name_H-M 'C 1 2/c 1'
_symmetry_Int_Tables_number 15
loop_
_symmetry_equiv_pos_as_xyz
'x,y,z'
'-x,-y,-z'
'-x,y,-z+1/2'
'x,-y,z+1/2'
'x+1/2,y+1/2,z'
'-x+1/2,-y+1/2,-z'
'-x+1/2,y+1/2,-z+1/2'
'x+1/2,-y+1/2,z+1/2'
loop_
_atom_site_label
_atom_site_type_symbol
_atom_site_fract_x
_atom_site_fract_y
_atom_site_fract_z
Nb1 Nb 0.000 0.120 0.250
Nb2 Nb 0.101 0.444 0.151
Nb3 Nb 0.191 0.090 0.043
Ga1 Ga 0.250 0.250 0.500
Sn1 Sn 0.000 0.231 0.750
# Total energy, eV/atom: -8.156
# DOS at the Fermi energy, states/eV/atom: 0.8906
# Total magnetization, μB per formula unit: 0.000
# Calculated density, g cm⁻³: 8.1